Record 1
{"formula": "KCr2Sb", "functional": "PBE-GGA", "state": "relaxed", "lattice": [[-2.597, 2.597, 3.694], [2.597, -2.597, 3.694], [2.597, 2.597, -3.694]], "species": ["K", "Cr", "Cr", "Sb"], "fractional_positions": [[0.000, 0.000, 0.000], [0.500, 0.500, 0.000], [0.750, 0.250, 0.500], [0.250, 0.750, 0.500]], "magmom_total_mub_per_fu": 9.40, "e_tot_ev_per_atom": -5.29, "formation_energy_uncorrected_ev_per_atom": 0.826, "dos_ef_per_ev_cell": 2.1}

Record 2
{"formula": "KCr2Sb", "functional": "PBE-GGA", "state": "relaxed", "lattice": [[-2.883, 2.883, 9.121], [2.883, -2.883, 9.121], [2.883, 2.883, -9.121]], "species": ["K", "K", "Cr", "Cr", "Cr", "Cr", "Sb", "Sb"], "fractional_positions": [[0.375, 0.625, 0.750], [0.625, 0.375, 0.250], [0.000, 0.000, 0.000], [0.000, 0.000, 0.500], [0.000, 0.500, 0.000], [0.500, 0.000, 0.500], [0.125, 0.875, 0.250], [0.875, 0.125, 0.750]], "magmom_total_mub_per_fu": 9.58, "e_tot_ev_per_atom": -5.42, "formation_energy_uncorrected_ev_per_atom": 0.696, "dos_ef_per_ev_cell": 3.7}

Record 3
{"formula": "KCrSb", "functional": "PBE-GGA", "state": "relaxed", "lattice": [[-1.927, 1.927, 6.186], [1.927, -1.927, 6.186], [1.927, 1.927, -6.186]], "species": ["K", "Cr", "Sb"], "fractional_positions": [[0.000, 0.000, 0.000], [0.733, 0.733, 0.000], [0.286, 0.286, 0.000]], "magmom_total_mub_per_fu": 3.94, "e_tot_ev_per_atom": -4.80, "formation_energy_uncorrected_ev_per_atom": 0.151, "relative_energy_ev_per_fu": 0.66, "dos_ef_per_ev_cell": 0.7}

Record 4
{"formula": "KCrSb", "functional": "PBE-GGA", "state": "relaxed", "lattice": [[0.000, 3.707, 3.707], [3.707, 0.000, 3.707], [3.707, 3.707, 0.000]], "species": ["K", "Cr", "Sb"], "fractional_positions": [[0.000, 0.000, 0.000], [0.250, 0.250, 0.250], [0.750, 0.750, 0.750]], "magmom_total_mub_per_fu": 4.00, "e_tot_ev_per_atom": -3.98, "formation_energy_uncorrected_ev_per_atom": 0.963, "relative_energy_ev_per_fu": 3.10, "dos_ef_per_ev_cell": 1.5}

Record 5
{"formula": "KCr2Sb", "functional": "PBE-GGA", "state": "relaxed", "lattice": [[4.028, -2.327, 0.000], [4.028, 2.327, 0.000], [-2.634, 0.000, 6.342]], "species": ["K", "Cr", "Cr", "Sb"], "fractional_positions": [[0.000, 0.000, 0.000], [0.499, 0.499, 0.491], [0.825, 0.825, 0.469], [0.183, 0.183, 0.545]], "magmom_total_mub_per_fu": 0.02, "e_tot_ev_per_atom": -5.89, "formation_energy_uncorrected_ev_per_atom": 0.229}

Record 6
{"formula": "KCr2Sb", "functional": "PBE-GGA", "state": "relaxed", "lattice": [[3.461, 0.000, 0.000], [0.000, 3.789, 0.000], [0.000, 0.000, 8.478]], "species": ["K", "Cr", "Cr", "Sb"], "fractional_positions": [[0.000, 0.000, 0.000], [0.500, 0.500, 0.331], [0.500, 0.500, 0.669], [0.000, 0.000, 0.500]], "magmom_total_mub_per_fu": 8.98, "e_tot_ev_per_atom": -5.40, "formation_energy_uncorrected_ev_per_atom": 0.716, "dos_ef_per_ev_cell": 2.4}

Record 7
{"formula": "K2CrSb", "functional": "PBE-GGA", "state": "relaxed", "lattice": [[0.000, 3.900, 3.900], [3.900, 0.000, 3.900], [3.900, 3.900, 0.000]], "species": ["K", "K", "Cr", "Sb"], "fractional_positions": [[0.000, 0.000, 0.000], [0.250, 0.250, 0.250], [0.750, 0.750, 0.750], [0.500, 0.500, 0.500]], "magmom_total_mub_per_fu": 5.00, "e_tot_ev_per_atom": -3.80, "formation_energy_uncorrected_ev_per_atom": 0.189, "dos_ef_per_ev_cell": 0.2}

Record 8
{"formula": "K2CrSb", "functional": "PBE-GGA", "state": "relaxed", "lattice": [[4.688, 0.000, 0.000], [0.000, 4.688, 0.000], [0.000, 0.000, 5.542]], "species": ["K", "K", "Cr", "Sb"], "fractional_positions": [[0.000, 0.500, 0.000], [0.500, 0.000, 0.000], [0.000, 0.000, 0.500], [0.500, 0.500, 0.500]], "magmom_total_mub_per_fu": 4.90, "e_tot_ev_per_atom": -3.66, "formation_energy_uncorrected_ev_per_atom": 0.324, "dos_ef_per_ev_cell": 1.0}

Record 9
{"formula": "KCrSb", "functional": "PBE-GGA", "state": "relaxed", "lattice": [[4.800, 0.000, 0.000], [0.000, 4.800, 0.000], [0.000, 0.000, 7.925]], "species": ["K", "K", "Cr", "Cr", "Sb", "Sb"], "fractional_positions": [[0.250, 0.250, 0.156], [0.750, 0.750, 0.844], [0.250, 0.750, 0.500], [0.750, 0.250, 0.500], [0.250, 0.250, 0.681], [0.750, 0.750, 0.319]], "magmom_total_mub_per_fu": 4.00, "e_tot_ev_per_atom": -5.02, "formation_energy_uncorrected_ev_per_atom": -0.069, "relative_energy_ev_per_fu": 0.00, "dos_ef_per_ev_cell": 3.2}

Record 10
{"formula": "K2CrSb", "functional": "PBE-GGA", "state": "relaxed", "lattice": [[5.646, 0.000, 0.000], [0.000, 5.027, 0.000], [-2.817, 0.000, 5.823]], "species": ["K", "K", "Cr", "Sb"], "fractional_positions": [[0.000, 0.000, 0.000], [0.299, 0.500, 0.598], [0.618, 0.500, 0.235], [0.689, 0.000, 0.380]], "magmom_total_mub_per_fu": 4.86, "e_tot_ev_per_atom": -3.89, "formation_energy_uncorrected_ev_per_atom": 0.092, "dos_ef_per_ev_cell": 0.7}

Record 11
{"formula": "K2CrSb", "functional": "PBE-GGA", "state": "relaxed", "lattice": [[6.397, 0.000, 0.000], [0.000, 6.397, 0.000], [0.000, 0.000, 3.379]], "species": ["K", "K", "Cr", "Sb"], "fractional_positions": [[0.000, 0.500, 0.000], [0.500, 0.000, 0.000], [0.000, 0.000, 0.500], [0.500, 0.500, 0.500]], "magmom_total_mub_per_fu": 4.94, "e_tot_ev_per_atom": -3.51, "formation_energy_uncorrected_ev_per_atom": 0.477, "dos_ef_per_ev_cell": 1.9}

Record 12
{"formula": "K2CrSb", "functional": "PBE-GGA", "state": "relaxed", "lattice": [[3.855, 0.000, 0.000], [0.000, 5.423, 0.000], [-0.046, 0.000, 6.258]], "species": ["K", "K", "Cr", "Sb"], "fractional_positions": [[0.004, 0.000, 0.241], [0.996, 0.000, 0.759], [0.500, 0.500, 0.500], [0.500, 0.500, 0.000]], "magmom_total_mub_per_fu": 5.07, "e_tot_ev_per_atom": -3.59, "formation_energy_uncorrected_ev_per_atom": 0.400, "dos_ef_per_ev_cell": 1.7}

Record 13
{"formula": "K2CrSb2", "functional": "PBE-GGA", "state": "relaxed", "lattice": [[7.302, 0.000, 0.000], [0.000, 7.302, 0.000], [0.000, 0.000, 5.832]], "species": ["K", "K", "K", "K", "Cr", "Cr", "Sb", "Sb", "Sb", "Sb"], "fractional_positions": [[0.167, 0.333, 0.000], [0.333, 0.833, 0.000], [0.667, 0.167, 0.000], [0.833, 0.667, 0.000], [0.000, 0.000, 0.500], [0.500, 0.500, 0.500], [0.143, 0.643, 0.500], [0.357, 0.143, 0.500], [0.643, 0.857, 0.500], [0.857, 0.357, 0.500]], "magmom_total_mub_per_fu": 4.00, "e_tot_ev_per_atom": -4.15, "formation_energy_uncorrected_ev_per_atom": -0.134, "dos_ef_per_ev_cell": 1.5}

Record 14
{"formula": "K2CrSb", "functional": "PBE-GGA", "state": "relaxed", "lattice": [[0.000, 3.444, 5.363], [3.364, 0.000, 5.363], [3.364, 3.444, 0.000]], "species": ["K", "K", "Cr", "Sb"], "fractional_positions": [[0.250, 0.250, 0.250], [0.750, 0.750, 0.750], [0.000, 0.000, 0.000], [0.500, 0.500, 0.500]], "magmom_total_mub_per_fu": 4.90, "e_tot_ev_per_atom": -3.67, "formation_energy_uncorrected_ev_per_atom": 0.315, "dos_ef_per_ev_cell": 0.8}

Record 15
{"formula": "K2CrSb", "functional": "PBE-GGA", "state": "relaxed", "lattice": [[4.137, -2.388, 0.000], [4.137, 2.388, 0.000], [-2.728, 0.000, 9.166]], "species": ["K", "K", "Cr", "Sb"], "fractional_positions": [[0.000, 0.000, 0.000], [0.169, 0.169, 0.514], [0.751, 0.751, 0.257], [0.418, 0.418, 0.257]], "magmom_total_mub_per_fu": 4.31, "e_tot_ev_per_atom": -3.96, "formation_energy_uncorrected_ev_per_atom": 0.023, "dos_ef_per_ev_cell": 2.3}

Record 16
{"formula": "K2CrSb", "functional": "PBE-GGA", "state": "relaxed", "lattice": [[-6.522, 6.522, 2.563], [6.522, -6.522, 2.563], [6.522, 6.522, -2.563]], "species": ["K", "K", "K", "K", "Cr", "Cr", "Sb", "Sb"], "fractional_positions": [[0.375, 0.176, 0.300], [0.824, 0.125, 0.200], [0.875, 0.074, 0.700], [0.926, 0.625, 0.800], [0.000, 0.000, 0.000], [0.750, 0.250, 0.500], [0.250, 0.750, 0.500], [0.500, 0.500, 0.000]], "magmom_total_mub_per_fu": 4.77, "e_tot_ev_per_atom": -3.76, "formation_energy_uncorrected_ev_per_atom": 0.230, "dos_ef_per_ev_cell": 2.6}

Record 17
{"formula": "K4CrSb", "functional": "PBE-GGA", "state": "relaxed", "lattice": [[0.000, 4.947, 4.947], [4.947, 0.000, 4.947], [4.947, 4.947, 0.000]], "species": ["K", "K", "K", "K", "Cr", "Sb"], "fractional_positions": [[0.124, 0.124, 0.124], [0.124, 0.124, 0.628], [0.124, 0.628, 0.124], [0.628, 0.124, 0.124], [0.500, 0.500, 0.500], [0.750, 0.750, 0.750]], "magmom_total_mub_per_fu": 5.73, "e_tot_ev_per_atom": -2.45, "formation_energy_uncorrected_ev_per_atom": 0.570, "dos_ef_per_ev_cell": 3.1}

Record 18
{"formula": "KCr2Sb", "functional": "PBE-GGA", "state": "relaxed", "lattice": [[1.645, 0.950, 9.982], [-1.645, 0.950, 9.982], [0.000, -1.900, 9.982]], "species": ["K", "Cr", "Cr", "Sb"], "fractional_positions": [[0.000, 0.000, 0.000], [0.227, 0.227, 0.227], [0.506, 0.506, 0.506], [0.767, 0.767, 0.767]], "magmom_total_mub_per_fu": 0.20, "e_tot_ev_per_atom": -5.48, "formation_energy_uncorrected_ev_per_atom": 0.632, "dos_ef_per_ev_cell": 2.9}

Record 19
{"formula": "KCrSb", "functional": "PBE-GGA", "state": "relaxed", "lattice": [[4.657, 0.000, 0.000], [-2.328, 4.033, 0.000], [0.000, 0.000, 5.379]], "species": ["K", "Cr", "Sb"], "fractional_positions": [[0.000, 0.000, 0.000], [0.333, 0.667, 0.500], [0.667, 0.333, 0.500]], "magmom_total_mub_per_fu": 4.00, "e_tot_ev_per_atom": -4.86, "formation_energy_uncorrected_ev_per_atom": 0.093, "relative_energy_ev_per_fu": 0.48, "dos_ef_per_ev_cell": 2.1}

Record 20
{"formula": "K2CrSb", "functional": "PBE-GGA", "state": "relaxed", "lattice": [[1.823, 1.052, 11.787], [-1.823, 1.052, 11.787], [0.000, -2.104, 11.787]], "species": ["K", "K", "Cr", "Sb"], "fractional_positions": [[0.247, 0.247, 0.247], [0.753, 0.753, 0.753], [0.000, 0.000, 0.000], [0.500, 0.500, 0.500]], "magmom_total_mub_per_fu": 5.14, "e_tot_ev_per_atom": -3.38, "formation_energy_uncorrected_ev_per_atom": 0.608, "dos_ef_per_ev_cell": 4.4}

Record 21
{"formula": "KCr2Sb", "functional": "PBE-GGA", "state": "relaxed", "lattice": [[4.783, 0.000, 0.000], [0.000, 4.783, 0.000], [0.000, 0.000, 4.254]], "species": ["K", "Cr", "Cr", "Sb"], "fractional_positions": [[0.000, 0.000, 0.000], [0.000, 0.500, 0.500], [0.500, 0.000, 0.500], [0.500, 0.500, 0.000]], "magmom_total_mub_per_fu": 9.22, "e_tot_ev_per_atom": -5.31, "formation_energy_uncorrected_ev_per_atom": 0.806, "dos_ef_per_ev_cell": 2.9}

Record 22
{"formula": "KCr2Sb", "functional": "PBE-GGA", "state": "relaxed", "lattice": [[-1.655, 2.730, 5.609], [1.655, -2.730, 5.609], [1.655, 2.730, -5.609]], "species": ["K", "Cr", "Cr", "Sb"], "fractional_positions": [[0.000, 0.000, 0.000], [0.474, 0.474, 0.000], [0.707, 0.207, 0.500], [0.273, 0.773, 0.500]], "magmom_total_mub_per_fu": 8.72, "e_tot_ev_per_atom": -5.32, "formation_energy_uncorrected_ev_per_atom": 0.796, "dos_ef_per_ev_cell": 3.0}

Record 23
{"formula": "KCr2Sb", "functional": "PBE-GGA", "state": "relaxed", "lattice": [[2.406, 1.389, 6.239], [-2.406, 1.389, 6.239], [0.000, -2.779, 6.239]], "species": ["K", "Cr", "Cr", "Sb"], "fractional_positions": [[0.000, 0.000, 0.000], [0.194, 0.194, 0.194], [0.806, 0.806, 0.806], [0.500, 0.500, 0.500]], "magmom_total_mub_per_fu": 9.41, "e_tot_ev_per_atom": -5.59, "formation_energy_uncorrected_ev_per_atom": 0.530, "dos_ef_per_ev_cell": 2.5}

Record 24
{"formula": "K2CrSb", "functional": "PBE-GGA", "state": "relaxed", "lattice": [[3.888, 0.000, 0.000], [0.000, 3.888, 0.000], [0.000, 0.000, 10.149]], "species": ["K", "K", "Cr", "Sb"], "fractional_positions": [[0.000, 0.000, 0.000], [0.500, 0.500, 0.393], [0.500, 0.500, 0.717], [0.000, 0.000, 0.653]], "magmom_total_mub_per_fu": 3.93, "e_tot_ev_per_atom": -3.84, "formation_energy_uncorrected_ev_per_atom": 0.146, "dos_ef_per_ev_cell": 1.7}

Record 25
{"formula": "KCr4Sb", "functional": "PBE-GGA", "state": "relaxed", "lattice": [[0.000, 3.631, 3.631], [3.631, 0.000, 3.631], [3.631, 3.631, 0.000]], "species": ["K", "Cr", "Cr", "Cr", "Cr", "Sb"], "fractional_positions": [[0.000, 0.000, 0.000], [0.372, 0.372, 0.372], [0.372, 0.372, 0.884], [0.372, 0.884, 0.372], [0.884, 0.372, 0.372], [0.750, 0.750, 0.750]], "magmom_total_mub_per_fu": 0.00, "e_tot_ev_per_atom": -6.25, "formation_energy_uncorrected_ev_per_atom": 1.034, "dos_ef_per_ev_cell": 7.4}

Record 26
{"formula": "K2CrSb", "functional": "PBE-GGA", "state": "relaxed", "lattice": [[3.214, -5.320, 0.000], [3.214, 5.320, 0.000], [0.000, 0.000, 3.805]], "species": ["K", "K", "Cr", "Sb"], "fractional_positions": [[0.000, 0.500, 0.000], [0.500, 0.000, 0.000], [0.000, 0.000, 0.500], [0.500, 0.500, 0.500]], "magmom_total_mub_per_fu": 5.13, "e_tot_ev_per_atom": -3.59, "formation_energy_uncorrected_ev_per_atom": 0.393, "dos_ef_per_ev_cell": 1.2}

Record 27
{"formula": "KCrSb", "functional": "PBE-GGA", "state": "relaxed", "lattice": [[0.000, 3.531, 3.531], [3.531, 0.000, 3.531], [3.531, 3.531, 0.000]], "species": ["K", "Cr", "Sb"], "fractional_positions": [[0.000, 0.000, 0.000], [0.250, 0.250, 0.250], [0.500, 0.500, 0.500]], "magmom_total_mub_per_fu": 4.00, "e_tot_ev_per_atom": -4.59, "formation_energy_uncorrected_ev_per_atom": 0.354, "relative_energy_ev_per_fu": 1.27, "dos_ef_per_ev_cell": 1.9}

Record 28
{"formula": "KCr2Sb", "functional": "PBE-GGA", "state": "relaxed", "lattice": [[4.868, -1.573, 0.000], [4.868, 1.573, 0.000], [-0.810, 0.000, 6.497]], "species": ["K", "Cr", "Cr", "Sb"], "fractional_positions": [[0.000, 0.000, 0.000], [0.234, 0.234, 0.604], [0.766, 0.766, 0.396], [0.500, 0.500, 0.500]], "magmom_total_mub_per_fu": 0.00, "e_tot_ev_per_atom": -5.48, "formation_energy_uncorrected_ev_per_atom": 0.635, "dos_ef_per_ev_cell": 3.0}

Record 29
{"formula": "K2CrSb", "functional": "PBE-GGA", "state": "relaxed", "lattice": [[3.493, 0.000, 0.000], [0.000, 3.493, 0.000], [0.000, 0.000, 10.932]], "species": ["K", "K", "Cr", "Sb"], "fractional_positions": [[0.000, 0.000, 0.236], [0.000, 0.000, 0.764], [0.500, 0.500, 0.500], [0.500, 0.500, 0.000]], "magmom_total_mub_per_fu": 5.06, "e_tot_ev_per_atom": -3.52, "formation_energy_uncorrected_ev_per_atom": 0.468, "dos_ef_per_ev_cell": 1.6}

Record 30
{"formula": "K2CrSiSb", "functional": "PBE-GGA", "state": "relaxed", "lattice": [[6.503, 0.000, 0.000], [0.000, 6.503, 0.000], [0.000, 0.000, 5.142]], "species": ["K", "K", "Cr", "Si", "Sb"], "fractional_positions": [[0.000, 0.500, 0.000], [0.500, 0.000, 0.000], [0.000, 0.000, 0.500], [0.500, 0.500, 0.000], [0.500, 0.500, 0.500]], "magmom_total_mub_per_fu": 5.42, "e_tot_ev_per_atom": -3.53, "formation_energy_uncorrected_ev_per_atom": 0.744, "dos_ef_per_ev_cell": 2.9}